[1]
VASP calculation (PBE) on a relaxed AcTaHg2O6 crystal.

space-group type: R-3, No. 148
magnetization: 0.000 μB per formula unit
ΔE_f (raw): -1.93 eV per atom

Cell: 6.291 6.291 6.291 Å, 55.54 55.54 55.54°
Element x y z (fractional)
1 Ac 0.000 0.000 0.000
2 Ta 0.500 0.500 0.500
3 Hg 0.241 0.241 0.241
4 Hg 0.759 0.759 0.759
5 O 0.157 0.405 0.717
6 O 0.283 0.843 0.595
7 O 0.405 0.717 0.157
8 O 0.595 0.283 0.843
9 O 0.717 0.157 0.405
10 O 0.843 0.595 0.283

[2]
VASP calculation (PBE) on a relaxed AcTcHgO6 crystal.

space-group type: P1, No. 1
magnetization: 0.077 μB per formula unit
ΔE_f (raw): -1.68 eV per atom

Cell: 4.813 5.966 6.614 Å, 98.15 109.11 107.90°
Element x y z (fractional)
1 Ac 0.000 0.000 0.000
2 Tc 0.490 0.354 0.693
3 Hg 0.594 0.769 0.352
4 O 0.164 0.316 0.767
5 O 0.288 0.287 0.392
6 O 0.521 0.928 0.101
7 O 0.553 0.078 0.695
8 O 0.732 0.668 0.639
9 O 0.797 0.537 0.966

[3]
VASP calculation (PBE) on a relaxed Ac2TcHgO8 crystal.

space-group type: C2/m, No. 12
magnetization: 1.017 μB per formula unit
ΔE_f (raw): -1.90 eV per atom

Cell: 4.931 4.931 8.170 Å, 93.72 93.72 94.77°
Element x y z (fractional)
1 Ac 0.056 0.056 0.256
2 Ac 0.944 0.944 0.744
3 Tc 0.500 0.500 0.500
4 Hg 0.500 0.500 0.000
5 O 0.200 0.200 0.984
6 O 0.230 0.230 0.553
7 O 0.246 0.604 0.335
8 O 0.396 0.754 0.665
9 O 0.604 0.246 0.335
10 O 0.754 0.396 0.665
11 O 0.770 0.770 0.447
12 O 0.800 0.800 0.016

[4]
VASP calculation (PBE) on a relaxed AcTcHgO5 crystal.

space-group type: C2/c, No. 15
magnetization: 0.357 μB per formula unit
ΔE_f (raw): -1.76 eV per atom

Cell: 7.095 7.095 8.939 Å, 106.24 106.24 106.31°
Element x y z (fractional)
1 Ac 0.000 0.000 0.000
2 Ac 0.000 0.000 0.500
3 Tc 0.311 0.689 0.750
4 Tc 0.689 0.311 0.250
5 Hg 0.321 0.679 0.250
6 Hg 0.679 0.321 0.750
7 O 0.043 0.957 0.250
8 O 0.165 0.722 0.877
9 O 0.221 0.419 0.622
10 O 0.278 0.835 0.623
11 O 0.419 0.221 0.122
12 O 0.581 0.779 0.878
13 O 0.722 0.165 0.377
14 O 0.779 0.581 0.378
15 O 0.835 0.278 0.123
16 O 0.957 0.043 0.750

[5]
VASP calculation (PBE) on a relaxed AcTcHg2O6 crystal.

space-group type: R-3, No. 148
magnetization: 0.000 μB per formula unit
ΔE_f (raw): -1.39 eV per atom

Cell: 6.242 6.242 6.242 Å, 56.02 56.02 56.02°
Element x y z (fractional)
1 Ac 0.000 0.000 0.000
2 Tc 0.500 0.500 0.500
3 Hg 0.232 0.232 0.232
4 Hg 0.768 0.768 0.768
5 O 0.178 0.392 0.719
6 O 0.281 0.822 0.608
7 O 0.392 0.719 0.178
8 O 0.608 0.281 0.822
9 O 0.719 0.178 0.392
10 O 0.822 0.608 0.281

[6]
VASP calculation (PBE) on a relaxed Ac2TcHgO6 crystal.

space-group type: P2_1/c, No. 14
magnetization: 1.010 μB per formula unit
ΔE_f (raw): -2.19 eV per atom

Cell: 5.746 6.672 10.742 Å, 90.00 122.29 90.00°
Element x y z (fractional)
1 Ac 0.225 0.001 0.225
2 Ac 0.225 0.499 0.725
3 Ac 0.775 0.501 0.275
4 Ac 0.775 0.999 0.775
5 Tc 0.500 0.000 0.000
6 Tc 0.500 0.500 0.500
7 Hg 0.000 0.000 0.500
8 Hg 0.000 0.500 0.000
9 O 0.200 0.131 0.999
10 O 0.200 0.369 0.499
11 O 0.225 0.679 0.347
12 O 0.225 0.821 0.847
13 O 0.468 0.177 0.846
14 O 0.468 0.323 0.346
15 O 0.532 0.677 0.654
16 O 0.532 0.823 0.154
17 O 0.775 0.179 0.153
18 O 0.775 0.321 0.653
19 O 0.800 0.631 0.501
20 O 0.800 0.869 0.001

[7]
VASP calculation (PBE) on a relaxed AcHgTe2O7 crystal.

space-group type: I-4m2, No. 119
magnetization: 0.000 μB per formula unit
ΔE_f (raw): -1.35 eV per atom

Cell: 10.893 10.893 10.893 Å, 157.96 157.96 31.36°
Element x y z (fractional)
1 Ac 0.000 0.000 0.000
2 Hg 0.750 0.250 0.500
3 Te 0.393 0.393 0.000
4 Te 0.607 0.607 0.000
5 O 0.087 0.587 0.500
6 O 0.299 0.299 0.000
7 O 0.413 0.913 0.500
8 O 0.500 0.500 0.000
9 O 0.593 0.093 0.500
10 O 0.701 0.701 0.000
11 O 0.907 0.407 0.500

[8]
VASP calculation (PBE) on a relaxed AcHgTeO crystal.

space-group type: P4/nmm, No. 129
magnetization: 0.000 μB per formula unit
ΔE_f (raw): -1.70 eV per atom

Cell: 4.195 4.195 13.252 Å, 90.00 90.00 90.00°
Element x y z (fractional)
1 Ac 0.250 0.250 0.098
2 Ac 0.750 0.750 0.902
3 Hg 0.250 0.750 0.500
4 Hg 0.750 0.250 0.500
5 Te 0.250 0.250 0.738
6 Te 0.750 0.750 0.262
7 O 0.250 0.750 0.000
8 O 0.750 0.250 0.000

[9]
VASP calculation (PBE) on a relaxed AcHg2TeO6 crystal.

space-group type: R3, No. 146
magnetization: 0.000 μB per formula unit
ΔE_f (raw): -1.30 eV per atom

Cell: 6.348 6.348 6.348 Å, 55.24 55.24 55.24°
Element x y z (fractional)
1 Ac 0.000 0.000 0.000
2 Hg 0.222 0.222 0.222
3 Hg 0.753 0.753 0.753
4 Te 0.506 0.506 0.506
5 O 0.187 0.384 0.738
6 O 0.293 0.836 0.607
7 O 0.384 0.738 0.187
8 O 0.607 0.293 0.836
9 O 0.738 0.187 0.384
10 O 0.836 0.607 0.293

[10]
VASP calculation (PBE) on a relaxed AcHgTe2O8 crystal.

space-group type: I-4m2, No. 119
magnetization: 0.000 μB per formula unit
ΔE_f (raw): -1.27 eV per atom

Cell: 6.549 6.549 6.549 Å, 107.45 107.45 113.60°
Element x y z (fractional)
1 Ac 0.000 0.000 0.000
2 Hg 0.750 0.250 0.500
3 Te 0.250 0.750 0.500
4 Te 0.500 0.500 0.000
5 O 0.091 0.404 0.313
6 O 0.091 0.778 0.687
7 O 0.142 0.326 0.816
8 O 0.222 0.909 0.313
9 O 0.510 0.326 0.184
10 O 0.596 0.909 0.687
11 O 0.674 0.490 0.816
12 O 0.674 0.858 0.184

[11]
VASP calculation (PBE) on a relaxed Ac2HgTeO8 crystal.

space-group type: P2/m, No. 10
magnetization: 0.000 μB per formula unit
ΔE_f (raw): -1.75 eV per atom

Cell: 4.554 8.101 5.349 Å, 90.00 92.50 90.00°
Element x y z (fractional)
1 Ac 0.000 0.246 0.000
2 Ac 0.000 0.754 0.000
3 Hg 0.500 0.000 0.500
4 Te 0.500 0.500 0.500
5 O 0.075 0.500 0.381
6 O 0.171 0.000 0.222
7 O 0.439 0.330 0.744
8 O 0.439 0.670 0.744
9 O 0.561 0.330 0.256
10 O 0.561 0.670 0.256
11 O 0.829 0.000 0.778
12 O 0.925 0.500 0.619

[12]
VASP calculation (PBE) on a relaxed Ac2TlHgO6 crystal.

space-group type: P4mm, No. 99
magnetization: 1.017 μB per formula unit
ΔE_f (raw): -1.72 eV per atom

Cell: 5.638 5.638 5.649 Å, 90.00 90.00 90.00°
Element x y z (fractional)
1 Ac 0.000 0.500 0.000
2 Ac 0.500 0.000 0.000
3 Tl 0.000 0.000 0.548
4 Hg 0.500 0.500 0.527
5 O 0.000 0.000 0.169
6 O 0.247 0.247 0.738
7 O 0.247 0.753 0.738
8 O 0.500 0.500 0.144
9 O 0.753 0.247 0.738
10 O 0.753 0.753 0.738

[13]
VASP calculation (PBE) on a relaxed Ac2TlHgO5 crystal.

space-group type: P4/mbm, No. 127
magnetization: 0.002 μB per formula unit
ΔE_f (raw): -1.83 eV per atom

Cell: 7.343 7.343 6.316 Å, 90.00 90.00 90.00°
Element x y z (fractional)
1 Ac 0.179 0.321 0.000
2 Ac 0.321 0.821 0.000
3 Ac 0.679 0.179 0.000
4 Ac 0.821 0.679 0.000
5 Tl 0.000 0.500 0.500
6 Tl 0.500 0.000 0.500
7 Hg 0.000 0.000 0.500
8 Hg 0.500 0.500 0.500
9 O 0.000 0.000 0.000
10 O 0.134 0.634 0.233
11 O 0.134 0.634 0.767
12 O 0.366 0.134 0.233
13 O 0.366 0.134 0.767
14 O 0.500 0.500 0.000
15 O 0.634 0.866 0.233
16 O 0.634 0.866 0.767
17 O 0.866 0.366 0.233
18 O 0.866 0.366 0.767

[14]
VASP calculation (PBE) on a relaxed AcTlHgO4 crystal.

space-group type: Imma, No. 74
magnetization: 0.000 μB per formula unit
ΔE_f (raw): -1.41 eV per atom

Cell: 7.040 7.040 7.040 Å, 119.81 109.00 100.22°
Element x y z (fractional)
1 Ac 0.000 0.000 0.000
2 Ac 0.500 0.000 0.500
3 Tl 0.372 0.622 0.750
4 Tl 0.628 0.378 0.250
5 Hg 0.000 0.000 0.500
6 Hg 0.000 0.500 0.000
7 O 0.232 0.204 0.472
8 O 0.232 0.760 0.028
9 O 0.250 0.730 0.520
10 O 0.289 0.270 0.020
11 O 0.711 0.730 0.980
12 O 0.750 0.270 0.480
13 O 0.768 0.240 0.972
14 O 0.768 0.796 0.528

[15]
VASP calculation (PBE) on a relaxed Ac2TmHgO6 crystal.

space-group type: P2_1/c, No. 14
magnetization: 0.925 μB per formula unit
ΔE_f (raw): -2.57 eV per atom

Cell: 5.866 6.020 10.925 Å, 90.00 120.51 90.00°
Element x y z (fractional)
1 Ac 0.223 0.050 0.243
2 Ac 0.223 0.450 0.743
3 Ac 0.777 0.550 0.257
4 Ac 0.777 0.950 0.757
5 Tm 0.500 0.000 0.000
6 Tm 0.500 0.500 0.500
7 Hg 0.000 0.000 0.500
8 Hg 0.000 0.500 0.000
9 O 0.147 0.213 0.940
10 O 0.147 0.287 0.440
11 O 0.205 0.719 0.915
12 O 0.205 0.781 0.415
13 O 0.408 0.067 0.781
14 O 0.408 0.433 0.281
15 O 0.592 0.567 0.719
16 O 0.592 0.933 0.219
17 O 0.795 0.219 0.585
18 O 0.795 0.281 0.085
19 O 0.853 0.713 0.560
20 O 0.853 0.787 0.060

[16]
VASP calculation (PBE) on a relaxed AcTmHgO4 crystal.

space-group type: Imma, No. 74
magnetization: 0.000 μB per formula unit
ΔE_f (raw): -2.41 eV per atom

Cell: 7.134 7.134 7.134 Å, 122.53 116.57 90.86°
Element x y z (fractional)
1 Ac 0.000 0.000 0.000
2 Ac 0.500 0.000 0.500
3 Tm 0.500 0.000 0.000
4 Tm 0.500 0.500 0.500
5 Hg 0.135 0.385 0.750
6 Hg 0.865 0.615 0.250
7 O 0.274 0.260 0.486
8 O 0.274 0.788 0.014
9 O 0.295 0.246 0.050
10 O 0.304 0.754 0.550
11 O 0.696 0.246 0.450
12 O 0.705 0.754 0.950
13 O 0.726 0.212 0.986
14 O 0.726 0.740 0.514